First-principles (PBE) data for crystalline Pr3Pd12Pb at its relaxed geometry, as listed in Alexandria via LeMat-Bulk.

Structure (extended XYZ):
```
16
Lattice="4.204 0.000 0.000 0.000 4.204 0.000 0.000 0.000 16.697" Properties=species:S:1:pos:R:3 pbc="T T T"
Pd 2.102 0.000 14.718
Pd 0.000 2.102 14.718
Pd 2.102 2.102 0.000
Pd 2.102 2.102 12.622
Pd 2.102 0.000 10.468
Pd 2.102 2.102 4.075
Pd 0.000 2.102 6.229
Pd 2.102 2.102 8.349
Pd 2.102 0.000 6.229
Pd 0.000 2.102 1.980
Pd 0.000 2.102 10.468
Pd 2.102 0.000 1.980
Pb 0.000 0.000 0.000
Pr 0.000 0.000 8.349
Pr 0.000 0.000 12.571
Pr 0.000 0.000 4.127
```

Output
The size of the total moment is 0.0 Bohr magnetons per cell. As for the space group: P4/mmm (123). The formation energy is -627 meV/atom. For the calculated volume, the calculation gives 18.4 A^3/atom.



First-principles (PBE) data for crystalline PmAgP2Rh5 at its relaxed geometry, as listed in Alexandria via LeMat-Bulk.

Structure (extended XYZ):
```
9
Lattice="-2.475 1.724 -2.812 1.353 -2.675 -2.831 -6.248 -5.447 2.162" Properties=species:S:1:pos:R:3 pbc="T T T"
Ag 0.000 0.000 0.000
Pm -3.124 -2.723 1.081
Rh -4.024 -5.435 0.211
Rh -2.786 -0.488 -0.870
Rh -0.872 -2.687 -0.880
Rh -3.685 -3.199 -1.740
Rh -5.938 -3.235 0.220
P -1.390 -1.199 -2.534
P -5.980 -5.200 -0.946
```

Output
The size of the total moment is 0.0 Bohr magnetons per cell. As for the space group: P4/mmm (123). The formation energy is -527 meV/atom. For the calculated volume, the calculation gives 16.2 A^3/atom.



First-principles (PBE) data for crystalline ScZnAg at its relaxed geometry, as listed in Alexandria via LeMat-Bulk.

Structure (extended XYZ):
```
3
Lattice="5.220 0.086 -0.111 2.885 4.352 0.111 -4.003 -2.310 2.432" Properties=species:S:1:pos:R:3 pbc="T T T"
Sc 5.439 2.978 0.000
Ag 8.021 4.391 0.000
Zn 2.750 1.505 0.000
```

Output
The size of the total moment is 0.2 Bohr magnetons per cell. As for the space group: Imm2 (44). The formation energy is -243 meV/atom. For the calculated volume, the calculation gives 18.3 A^3/atom.



First-principles (PBE) data for crystalline CdS2Cl at its relaxed geometry, as listed in Alexandria via LeMat-Bulk.

Structure (extended XYZ):
```
4
Lattice="0.135 6.285 8.783 0.118 3.619 10.176 2.720 4.827 9.272" Properties=species:S:1:pos:R:3 pbc="T T T"
S 0.225 1.114 2.135
S 2.748 13.617 26.096
Cl 1.486 7.365 14.115
Cd 0.000 0.000 0.000
```

Output
The size of the total moment is 0.0 Bohr magnetons per cell. As for the space group: R-3m (166). The value obtained for the energy above the most stable polymorph in this dataset is 4.037 eV per formula unit. The formation energy without anion corrections comes out at 2.576 eV/f.u. For the calculated volume, the calculation gives 20.9 A^3/atom.



First-principles (PBE) data for crystalline Li2PrPuPt2 at its relaxed geometry, as listed in Alexandria via LeMat-Bulk.

Structure (extended XYZ):
```
6
Lattice="-0.798 -2.336 3.699 -2.102 -1.034 -3.780 5.254 -4.479 -1.696" Properties=species:S:1:pos:R:3 pbc="T T T"
Pt 2.836 -5.370 -0.107
Pt -0.481 -2.479 -1.670
Pr 2.627 -2.240 -0.848
Li 2.382 -4.920 -2.594
Li -0.027 -2.930 0.817
Pu 0.000 0.000 0.000
```

Output
The size of the total moment is 5.7 Bohr magnetons per cell. As for the space group: P-3m1 (164). The formation energy is -621 meV/atom. For the calculated volume, the calculation gives 20.3 A^3/atom.



First-principles (PBE) data for crystalline CdPt at its relaxed geometry, as listed in Alexandria via LeMat-Bulk.

Structure (extended XYZ):
```
16
Lattice="-4.933 -0.467 6.610 -3.750 -6.597 -3.265 3.045 -2.759 2.077" Properties=species:S:1:pos:R:3 pbc="T T T"
Cd 0.152 -1.509 2.875
Cd -3.300 -1.699 2.579
Cd -5.712 -3.662 3.509
Cd -5.383 -5.365 0.765
Cd -1.186 -6.144 -1.319
Cd 0.480 -3.212 0.132
Cd -2.040 -1.717 5.812
Cd -2.971 -3.402 -0.164
Pt -3.949 -5.563 -1.599
Pt -7.218 -5.872 2.780
Pt -2.620 -5.946 1.045
Pt -4.734 -1.501 4.944
Pt -1.354 -3.720 2.147
Pt -3.019 -3.877 4.377
Pt -4.284 -6.103 3.275
Pt -1.465 -1.192 0.564
```

Output
The size of the total moment is 0.0 Bohr magnetons per cell. As for the space group: I4/mmm (139). The formation energy is -194 meV/atom. For the calculated volume, the calculation gives 19.6 A^3/atom.



First-principles (PBE) data for crystalline K4TlCd3Cl12 at its relaxed geometry, as listed in Alexandria via LeMat-Bulk.

Structure (extended XYZ):
```
20
Lattice="-0.143 -9.189 -0.868 8.742 2.965 -0.102 -3.970 2.399 7.982" Properties=species:S:1:pos:R:3 pbc="T T T"
Cl 5.492 -1.771 1.484
Cl -3.052 -5.039 5.278
Cl -1.061 -1.752 1.835
Cl 3.271 -4.810 1.293
Cl 2.218 -1.606 -0.250
Cl 6.380 -4.619 -0.720
Cl 4.536 1.126 3.697
Cl 0.093 -4.951 3.314
Cl 1.231 1.384 2.033
Cl 1.358 0.984 5.718
Cl -0.863 -2.054 5.526
Cl 3.541 3.980 5.846
Cd -2.056 -3.395 3.557
Cd 4.299 -3.112 -0.485
Cd 2.386 2.682 3.940
K -1.985 1.199 3.991
K -0.072 -4.595 -0.434
K 2.315 -1.913 3.505
K 4.371 1.482 -0.051
Tl 0.000 0.000 0.000
```

Output
The size of the total moment is 0.0 Bohr magnetons per cell. As for the space group: Im-3m (229). The formation energy without anion corrections comes out at -26.838 eV/f.u. For the calculated volume, the calculation gives 30.3 A^3/atom.



First-principles (PBE) data for crystalline NiSb2Pt at its relaxed geometry, as listed in Alexandria via LeMat-Bulk.

Structure (extended XYZ):
```
4
Lattice="4.781 0.000 0.000 2.390 4.140 0.000 2.390 1.380 3.903" Properties=species:S:1:pos:R:3 pbc="T T T"
Pt 7.171 4.140 2.927
Sb 0.000 0.000 0.000
Sb 2.390 1.380 0.976
Ni 4.781 2.760 1.952
```

Output
The size of the total moment is 0.0 Bohr magnetons per cell. As for the space group: F-43m (216). The value obtained for the energy above the most stable polymorph in this dataset is 2.247 eV per formula unit. The formation energy without anion corrections comes out at 1.333 eV/f.u. For the calculated volume, the calculation gives 19.3 A^3/atom.



First-principles (PBE) data for crystalline HoMgZnGe at its relaxed geometry, as listed in Alexandria via LeMat-Bulk.

Structure (extended XYZ):
```
4
Lattice="-4.837 0.527 -0.069 -2.871 -3.920 -0.261 -2.648 -1.337 3.857" Properties=species:S:1:pos:R:3 pbc="T T T"
Mg -7.766 -3.548 2.645
Zn 0.000 0.000 0.000
Ho -2.589 -1.183 0.882
Ge -5.177 -2.365 1.764
```

Output
The size of the total moment is 0.0 Bohr magnetons per cell. As for the space group: F-43m (216). The formation energy is -327 meV/atom. For the calculated volume, the calculation gives 20.4 A^3/atom.



First-principles (PBE) data for crystalline K2ThI2O2 at its relaxed geometry, as listed in Alexandria via LeMat-Bulk.

Structure (extended XYZ):
```
7
Lattice="4.586 0.000 0.000 0.000 4.586 0.000 -2.293 -2.293 9.975" Properties=species:S:1:pos:R:3 pbc="T T T"
Th 0.000 0.000 0.000
I 2.293 2.293 6.690
I 0.000 0.000 3.285
O 0.000 2.293 0.000
O 2.293 0.000 0.000
K 2.293 2.293 2.096
K 0.000 0.000 7.879
```

Output
The size of the total moment is 0.0 Bohr magnetons per cell. As for the space group: I4/mmm (139). The formation energy without anion corrections comes out at -15.570 eV/f.u. For the calculated volume, the calculation gives 30.0 A^3/atom.



First-principles (PBE) data for crystalline Li3Bi2Rh at its relaxed geometry, as listed in Alexandria via LeMat-Bulk.

Structure (extended XYZ):
```
12
Lattice="5.990 0.000 0.000 0.000 6.027 0.000 -2.995 -3.014 6.705" Properties=species:S:1:pos:R:3 pbc="T T T"
Li 4.468 0.000 1.922
Li 2.995 1.507 0.000
Li 1.473 0.000 4.782
Li 1.522 3.014 1.922
Li -1.473 3.014 4.782
Li 2.995 4.520 0.000
Bi 4.591 3.014 1.839
Bi 1.398 0.000 1.839
Bi 1.597 3.014 4.865
Bi -1.597 0.000 4.865
Rh 0.000 4.520 0.000
Rh 0.000 1.507 0.000
```

Output
The size of the total moment is 0.0 Bohr magnetons per cell. As for the space group: Ibam (72). The value obtained for the energy above the most stable polymorph in this dataset is 0.000 eV per formula unit. The formation energy is -370 meV/atom. For the calculated volume, the calculation gives 20.2 A^3/atom.



First-principles (PBE) data for crystalline RbFeC2 at its relaxed geometry, as listed in Alexandria via LeMat-Bulk.

Structure (extended XYZ):
```
8
Lattice="5.744 0.000 0.000 0.000 5.744 0.000 2.872 2.872 4.063" Properties=species:S:1:pos:R:3 pbc="T T T"
C 7.179 5.742 3.047
C 2.873 4.308 1.016
C 4.308 5.745 3.047
C 2.871 1.436 1.016
Rb 0.000 0.000 0.000
Rb 5.744 2.872 2.031
Fe 2.872 2.872 0.000
Fe 2.872 5.744 2.031
```

Output
The size of the total moment is 0.0 Bohr magnetons per cell. As for the space group: Fd-3m (227). The value obtained for the energy above the most stable polymorph in this dataset is 0.000 eV per formula unit. The formation energy is 586 meV/atom. For the calculated volume, the calculation gives 16.8 A^3/atom.



First-principles (PBE) data for crystalline Ga2IrPbO8 at its relaxed geometry, as listed in Alexandria via LeMat-Bulk.

Structure (extended XYZ):
```
12
Lattice="4.649 -0.023 -0.003 0.001 4.645 -0.005 0.004 0.007 6.457" Properties=species:S:1:pos:R:3 pbc="T T T"
O 3.716 0.927 5.020
O 3.285 3.268 -0.006
O 0.940 3.706 5.018
O 3.155 3.142 3.223
O 3.714 0.923 1.431
O 1.369 1.361 6.455
O 0.938 3.703 1.429
O 1.500 1.487 3.226
Ga 2.328 2.316 4.832
Ga 2.326 2.313 1.617
Pb 0.002 0.003 3.228
Ir 0.000 0.000 0.000
```

Output
The size of the total moment is 0.5 Bohr magnetons per cell. As for the space group: Cmmm (65). The formation energy without anion corrections comes out at -13.373 eV/f.u. For the calculated volume, the calculation gives 11.6 A^3/atom.



First-principles (PBE) data for crystalline Al2ReRh at its relaxed geometry, as listed in Alexandria via LeMat-Bulk.

Structure (extended XYZ):
```
4
Lattice="-0.186 -1.681 -4.773 2.091 -4.475 -1.115 -3.184 1.911 3.442" Properties=species:S:1:pos:R:3 pbc="T T T"
Al -0.070 -2.821 -0.309
Al 0.000 0.000 0.000
Re 0.953 -3.078 -2.944
Rh -1.209 -1.424 -2.137
```

Output
The size of the total moment is 0.0 Bohr magnetons per cell. As for the space group: I-4m2 (119). The value obtained for the energy above the most stable polymorph in this dataset is 1.037 eV per formula unit. The formation energy is -293 meV/atom. For the calculated volume, the calculation gives 14.4 A^3/atom.



First-principles (PBE) data for crystalline Ce2PmHo at its relaxed geometry, as listed in Alexandria via LeMat-Bulk.

Structure (extended XYZ):
```
4
Lattice="3.481 0.000 0.000 0.000 3.481 0.000 0.000 0.000 10.198" Properties=species:S:1:pos:R:3 pbc="T T T"
Ce 0.000 0.000 2.517
Ce 0.000 0.000 7.681
Pm 1.741 1.741 5.099
Ho 1.741 1.741 0.000
```

Output
The size of the total moment is 1.5 Bohr magnetons per cell. As for the space group: P4/mmm (123). The value obtained for the energy above the most stable polymorph in this dataset is 0.018 eV per formula unit. The formation energy is 115 meV/atom. For the calculated volume, the calculation gives 30.9 A^3/atom.



First-principles (PBE) data for crystalline BaSeO2 at its relaxed geometry, as listed in Alexandria via LeMat-Bulk.

Structure (extended XYZ):
```
4
Lattice="2.343 0.000 6.354 -1.171 2.029 6.354 -1.171 -2.029 6.354" Properties=species:S:1:pos:R:3 pbc="T T T"
O 0.000 0.000 1.903
O 0.000 0.000 17.161
Se 0.000 0.000 0.000
Ba 0.000 0.000 9.532
```

Output
The size of the total moment is 0.0 Bohr magnetons per cell. As for the space group: R-3m (166). The formation energy without anion corrections comes out at -5.518 eV/f.u. For the calculated volume, the calculation gives 22.6 A^3/atom.



First-principles (PBE) data for crystalline LiHoEr2Au4 at its relaxed geometry, as listed in Alexandria via LeMat-Bulk.

Structure (extended XYZ):
```
8
Lattice="4.953 0.000 0.000 2.476 4.289 0.000 2.476 1.430 8.131" Properties=species:S:1:pos:R:3 pbc="T T T"
Er 2.476 1.430 2.178
Er 7.429 4.289 5.952
Au 2.476 1.430 5.148
Au 7.429 4.289 2.983
Au 4.953 2.859 0.957
Au 4.953 2.859 7.174
Li 4.953 2.859 4.065
Ho 0.000 0.000 0.000
```

Output
The size of the total moment is 0.0 Bohr magnetons per cell. As for the space group: R-3m (166). The formation energy is -794 meV/atom. For the calculated volume, the calculation gives 21.6 A^3/atom.



First-principles (PBE) data for crystalline CrTcHg2Os at its relaxed geometry, as listed in Alexandria via LeMat-Bulk.

Structure (extended XYZ):
```
5
Lattice="5.205 0.000 0.000 0.000 4.478 0.000 0.000 0.000 5.205" Properties=species:S:1:pos:R:3 pbc="T T T"
Os 0.000 0.000 0.000
Hg 0.000 0.000 2.603
Hg 2.603 0.000 0.000
Tc 2.603 2.239 2.603
Cr 0.000 2.239 0.000
```

Output
The size of the total moment is 6.5 Bohr magnetons per cell. As for the space group: P4/mmm (123). The formation energy is 1663 meV/atom. For the calculated volume, the calculation gives 24.3 A^3/atom.



First-principles (PBE) data for crystalline Nd11Tl9Ru4 at its relaxed geometry, as listed in Alexandria via LeMat-Bulk.

Structure (extended XYZ):
```
24
Lattice="3.886 0.000 0.000 0.000 12.378 -5.187 0.000 0.094 13.421" Properties=species:S:1:pos:R:3 pbc="T T T"
Nd 0.000 7.783 1.773
Nd 0.000 5.188 -1.015
Nd 0.000 1.106 5.170
Nd 0.000 0.000 0.000
Nd 0.000 2.098 10.385
Nd 0.000 11.367 3.063
Nd 0.000 4.689 6.460
Nd 0.000 8.573 5.659
Nd 0.000 7.284 9.248
Nd 0.000 3.899 2.574
Nd 0.000 10.374 -2.152
Tl 1.943 6.236 4.117
Tl 1.943 1.980 7.673
Tl 1.943 10.492 0.560
Tl 1.943 2.711 -0.135
Tl 1.943 11.531 5.687
Tl 1.943 4.638 9.428
Tl 1.943 0.941 2.546
Tl 1.943 9.761 8.368
Tl 1.943 7.834 -1.194
Ru 1.943 3.146 4.756
Ru 1.943 9.326 3.477
Ru 1.943 6.862 7.209
Ru 1.943 5.610 1.024
```

Output
The size of the total moment is 0.0 Bohr magnetons per cell. As for the space group: Cmmm (65). The formation energy is -333 meV/atom. For the calculated volume, the calculation gives 27.0 A^3/atom.



First-principles (PBE) data for crystalline Pm3Nd12Al at its relaxed geometry, as listed in Alexandria via LeMat-Bulk.

Structure (extended XYZ):
```
16
Lattice="5.093 0.000 0.000 0.000 5.093 0.000 0.000 0.000 20.752" Properties=species:S:1:pos:R:3 pbc="T T T"
Nd 2.547 0.000 18.343
Nd 2.547 2.547 5.050
Nd 2.547 2.547 0.000
Nd 2.547 2.547 10.376
Nd 2.547 0.000 2.408
Nd 2.547 0.000 7.721
Nd 2.547 0.000 13.031
Nd 2.547 2.547 15.702
Nd 0.000 2.547 2.408
Nd 0.000 2.547 13.031
Nd 0.000 2.547 18.343
Nd 0.000 2.547 7.721
Pm 0.000 0.000 10.376
Pm 0.000 0.000 15.664
Pm 0.000 0.000 5.087
Al 0.000 0.000 0.000
```

Output
The size of the total moment is 0.0 Bohr magnetons per cell. As for the space group: P4/mmm (123). The formation energy is -15 meV/atom. For the calculated volume, the calculation gives 33.6 A^3/atom.